1.
First-principles (PBE) data for a relaxed K2Sm2HfSe6 crystal, as listed in Alexandria via LeMat-Bulk.

a = 7.201 Å, b = 12.329 Å, c = 8.229 Å
α = 90.00°, β = 107.46°, γ = 90.00°
Space group C2/m (No. 12)
Unique sites:
K  0.000  0.171  0.000 (multiplicity 4)
Sm  0.000  0.333  0.500 (multiplicity 4)
Hf  0.000  0.000  0.500 (multiplicity 2)
Se  0.225  0.155  0.701 (multiplicity 8)
Se  0.240  0.000  0.301 (multiplicity 4)

Values from the calculation:
For the mass density, the calculation gives 4.91 g/cm³. For the density of states at the Fermi level, the calculation gives 0.0 states/eV/f.u. Its raw formation energy is -18.03 eV per formula unit.



2.
First-principles (PBE) data for a relaxed Mg6CdPb crystal, as listed in Alexandria via LeMat-Bulk.

a = 4.483 Å, b = 4.483 Å, c = 9.134 Å
α = 90.00°, β = 90.00°, γ = 90.00°
Space group P4/mmm (No. 123)
Unique sites:
Mg  0.000  0.000  0.000 (multiplicity 1)
Mg  0.000  0.000  0.500 (multiplicity 1)
Mg  0.000  0.500  0.243 (multiplicity 4)
Cd  0.500  0.500  0.000 (multiplicity 1)
Pb  0.500  0.500  0.500 (multiplicity 1)

Values from the calculation:
For the mass density, the calculation gives 4.21 g/cm³. For the density of states at the Fermi level, the calculation gives 2.3 states/eV/f.u. The formation energy comes out at -48 kJ/mol of formula units.